# ZrBe2FeRh GGA-PBEsol optimized geometry
data_ZrBe2FeRh
_cell_length_a 4.1411
_cell_length_b 4.1411
_cell_length_c 4.8506
_cell_angle_alpha 90.00
_cell_angle_beta 90.00
_cell_angle_gamma 90.00
_symmetry_space_group_name_H-M 'P 4/m m m'
_symmetry_Int_Tables_number 123
_symmetry_space_group_name_Hall '-P 4 2'
loop_
_atom_site_label
_atom_site_fract_x
_atom_site_fract_y
_atom_site_fract_z
_atom_site_occupancy
Zr1 0.0000 0.0000 0.0000 1
Be1 0.0000 0.5000 0.5000 1
Fe1 0.5000 0.5000 0.0000 1
Rh1 0.0000 0.0000 0.5000 1
# calculated formation energy = 0.6156 eV/atom
# VASP energy = -0.4574 Ry/atom
# crystal system = tetragonal